Record 1
The following is a GGA-PBE calculation of a relaxed structure of SrSn2HPb, from the Alexandria database.

Calculated values
DOS at the Fermi energy ... 1.919 states/eV per cell
SG ... P4/mmm, No. 123
Final energy ... -3.512 eV/atom

Cell lengths 5.022, 5.022, 4.892 Å; angles 90.00, 90.00, 90.00 degrees
Atoms (fractional coordinates):
1 Sr 0.000 0.000 0.000
2 Sn 0.000 0.500 0.500
3 Sn 0.500 0.000 0.500
4 H 0.000 0.000 0.500
5 Pb 0.500 0.500 0.000



Record 2
The following is a GGA-PBE calculation of a relaxed structure of PRhO2, from the Alexandria database.

Calculated values
ΔE_f (raw) ... -0.37 eV/atom
DOS at the Fermi energy ... 1.011 states/eV per cell
SG ... R-3m, No. 166
Final energy ... -6.042 eV/atom

Cell lengths 6.265, 6.265, 6.265 Å; angles 28.10, 28.10, 28.10 degrees
Atoms (fractional coordinates):
1 P 0.000 0.000 0.000
2 Rh 0.500 0.500 0.500
3 O 0.108 0.108 0.108
4 O 0.892 0.892 0.892



Record 3
The following is a GGA-PBE calculation of a relaxed structure of NpVTcRu, from the Alexandria database.

Calculated values
Formation energy from the elements ... 0.02 eV per atom
DOS at the Fermi energy ... 5.240 states/eV per cell
SG ... F-43m, No. 216
Final energy ... -10.404 eV/atom

Cell lengths 4.516, 4.516, 4.516 Å; angles 60.00, 60.00, 60.00 degrees
Atoms (fractional coordinates):
1 Np 0.000 0.000 0.000
2 V 0.500 0.500 0.500
3 Tc 0.250 0.250 0.250
4 Ru 0.750 0.750 0.750



- Which value of final energy does entry 1 give?
  -3.512 eV/atom



Please write out number 2 again, unchanged.
The following is a GGA-PBE calculation of a relaxed structure of PRhO2, from the Alexandria database.

Calculated values
ΔE_f (raw) ... -0.37 eV/atom
DOS at the Fermi energy ... 1.011 states/eV per cell
SG ... R-3m, No. 166
Final energy ... -6.042 eV/atom

Cell lengths 6.265, 6.265, 6.265 Å; angles 28.10, 28.10, 28.10 degrees
Atoms (fractional coordinates):
1 P 0.000 0.000 0.000
2 Rh 0.500 0.500 0.500
3 O 0.108 0.108 0.108
4 O 0.892 0.892 0.892